Here is a relaxed SmDy3Y crystal from the Alexandria database. Energies are from PBE.

Calculated values
- N(E_F): 14.532 states/eV/cell
- E_tot: -4.98 eV/atom

Unit cell a=6.174 b=6.175 c=9.432 alpha=102.56 beta=109.09 gamma=99.52
Space group P-1 (No. 2)
Asymmetric unit:
Sm1 0.001 0.250 0.249 (multiplicity 2)
Dy1 0.201 0.751 0.150 (multiplicity 2)
Dy2 0.399 0.250 0.050 (multiplicity 2)
Dy3 0.400 0.751 0.550 (multiplicity 2)
Y1 0.201 0.251 0.650 (multiplicity 2)